Entry from Alexandria: an optimized crystal structure of Ba4HgRh (GGA-PBE).

Results
E = -33.8 eV/cell
formation energy from the elements = -0.259 eV per atom
theoretical density = 5.165 Mg/m³
relative energy among the computed polymorphs = 0.000 eV/atom

Cell: 9.865 9.865 7.838 Å, 108.28 108.28 116.47°
Positions (direct):
Ba  0.053  0.637  0.841
Ba  0.199  0.275  0.728
Ba  0.275  0.199  0.228
Ba  0.363  0.947  0.659
Ba  0.637  0.053  0.341
Ba  0.725  0.801  0.772
Ba  0.801  0.725  0.272
Ba  0.947  0.363  0.159
Hg  0.373  0.627  0.250
Hg  0.627  0.373  0.750
Rh  0.083  0.917  0.750
Rh  0.917  0.083  0.250